VASP calculation (PBE) on a geometry-optimized Li2InSi2 structure.

Properties
For the formation energy (no corrections), the calculation gives 0.01 eV per atom. The energy above the most stable polymorph in this dataset is 76 meV/atom. Its crystal system is tetragonal.

a = 3.974 Å, b = 3.974 Å, c = 6.425 Å
α = 71.99°, β = 71.99°, γ = 90.00°
Atoms (fractional coordinates):
Si  0.402  0.402  0.197
Si  0.598  0.598  0.803
Li  0.750  0.250  0.500
Li  0.250  0.750  0.500
In  0.000  0.000  0.000

=====

VASP calculation (PBE) on a geometry-optimized Tm4SnGe structure.

Properties
For the formation energy, the calculation gives -0.287 eV/atom. Its crystal system is monoclinic.

a = 5.773 Å, b = 7.422 Å, c = 8.544 Å
α = 90.00°, β = 90.00°, γ = 102.72°
Atoms (fractional coordinates):
Tm  0.625  0.488  0.750
Tm  0.375  0.512  0.250
Tm  0.459  0.986  0.750
Tm  0.541  0.014  0.250
Tm  0.986  0.765  0.056
Tm  0.014  0.235  0.556
Tm  0.986  0.765  0.444
Tm  0.014  0.235  0.944
Sn  0.162  0.589  0.750
Sn  0.838  0.411  0.250
Ge  0.926  0.909  0.750
Ge  0.074  0.091  0.250

=====

VASP calculation (PBE) on a geometry-optimized La7PmPr2 structure.

Properties
For the formation energy, the calculation gives 0.012 eV/atom. The energy above the most stable polymorph in this dataset is 0 meV/atom. Its crystal system is triclinic.

a = 6.459 Å, b = 9.842 Å, c = 6.423 Å
α = 108.96°, β = 99.77°, γ = 102.82°
Atoms (fractional coordinates):
La  0.000  0.801  0.399
La  0.000  0.199  0.601
La  0.001  0.601  0.801
La  0.999  0.399  0.199
La  0.501  0.900  0.200
La  0.499  0.100  0.800
La  0.500  0.500  0.000
Pm  0.000  0.000  0.000
Pr  0.501  0.700  0.601
Pr  0.499  0.300  0.399

=====

no.,raw total energy (eV/atom)
1,-3.468
2,-4.705
3,-4.868